SrCa2Ni: optimized geometry, GGA-PBEsol.

The value obtained for the raw total energy is -2.99 eV per atom. The calculation puts the density of states at the Fermi level at 1.003 states/eV per atom. The magnetization comes out at 0.00 Bohr magnetons per cell. For the excess energy over the best structure of this formula in the dataset, the calculation gives 1.8 kJ/mol of atoms.

The space group is P4mm (No. 99) and the conventional cell measures 3.591, 3.591 and 9.609 Å, with angles of 90.00, 90.00 and 90.00 degrees. Symmetry generates all atoms from Sr at (0.000, 0.000, 0.000), Ca at (0.000, 0.000, 0.653), Ca at (0.500, 0.500, 0.341) and Ni at (0.500, 0.500, 0.812).

=====

Sr2CaNi2: optimized geometry, GGA-PBEsol.

The value obtained for the raw total energy is -3.35 eV per atom. The calculation puts the density of states at the Fermi level at 0.342 states/eV per atom. The magnetization comes out at 0.00 Bohr magnetons per cell.

The space group is I4/mmm (No. 139) and the conventional cell measures 4.665, 4.665 and 12.205 Å, with angles of 90.00, 90.00 and 90.00 degrees. Symmetry generates all atoms from Sr at (0.000, 0.500, 0.250), Ca at (0.000, 0.000, 0.000) and Ni at (0.000, 0.000, 0.408).

=====

Sr2CaNi: optimized geometry, GGA-PBEsol.

The value obtained for the raw total energy is -2.63 eV per atom. The calculation puts the density of states at the Fermi level at 1.102 states/eV per atom. The magnetization comes out at 0.00 Bohr magnetons per cell. For the excess energy over the best structure of this formula in the dataset, the calculation gives 23.8 kJ/mol of atoms.

The space group is P4/mmm (No. 123) and the conventional cell measures 5.197, 5.197 and 4.679 Å, with angles of 90.00, 90.00 and 90.00 degrees. Symmetry generates all atoms from Sr at (0.000, 0.500, 0.000), Ca at (0.000, 0.000, 0.500) and Ni at (0.500, 0.500, 0.500).

=====

SrCa2Ni: optimized geometry, GGA-PBEsol.

The value obtained for the raw total energy is -3.01 eV per atom. The calculation puts the density of states at the Fermi level at 0.736 states/eV per atom. The magnetization comes out at 0.00 Bohr magnetons per cell. For the excess energy over the best structure of this formula in the dataset, the calculation gives 0.0 kJ/mol of atoms.

The space group is P4/mmm (No. 123) and the conventional cell measures 3.558, 3.558 and 9.727 Å, with angles of 90.00, 90.00 and 90.00 degrees. Symmetry generates all atoms from Sr at (0.000, 0.000, 0.000), Ca at (0.500, 0.500, 0.335) and Ni at (0.000, 0.000, 0.500).

=====

SrCa3Ni: optimized geometry, GGA-PBEsol.

The value obtained for the raw total energy is -2.91 eV per atom. The calculation puts the density of states at the Fermi level at 0.671 states/eV per atom. The magnetization comes out at 0.00 Bohr magnetons per cell.

The space group is Pm-3m (No. 221) and the conventional cell measures 5.558, 5.558 and 5.558 Å, with angles of 90.00, 90.00 and 90.00 degrees. Symmetry generates all atoms from Sr at (0.000, 0.000, 0.000), Ca at (0.000, 0.500, 0.500) and Ni at (0.500, 0.500, 0.500).

=====

Sr2CaNi: optimized geometry, GGA-PBEsol.

The value obtained for the raw total energy is -2.88 eV per atom. The calculation puts the density of states at the Fermi level at 1.031 states/eV per atom. The magnetization comes out at 0.00 Bohr magnetons per cell. For the excess energy over the best structure of this formula in the dataset, the calculation gives 0.0 kJ/mol of atoms.

The space group is P4/mmm (No. 123) and the conventional cell measures 3.677, 3.677 and 9.865 Å, with angles of 90.00, 90.00 and 90.00 degrees. Symmetry generates all atoms from Sr at (0.000, 0.000, 0.175), Ca at (0.500, 0.500, 0.500) and Ni at (0.500, 0.500, 0.000).

=====

Repeat the fifth record exactly.
SrCa3Ni: optimized geometry, GGA-PBEsol.

The value obtained for the raw total energy is -2.91 eV per atom. The calculation puts the density of states at the Fermi level at 0.671 states/eV per atom. The magnetization comes out at 0.00 Bohr magnetons per cell.

The space group is Pm-3m (No. 221) and the conventional cell measures 5.558, 5.558 and 5.558 Å, with angles of 90.00, 90.00 and 90.00 degrees. Symmetry generates all atoms from Sr at (0.000, 0.000, 0.000), Ca at (0.000, 0.500, 0.500) and Ni at (0.500, 0.500, 0.500).

=====

- magnetization of number 5 (SrCa3Ni)?
  0.00 Bohr magnetons per cell

=====

- What is the raw total energy in the second record?
  -3.35 eV per atom